Dy8ScSb6 (PBE, relaxed); VASP energy = -5.10 eV/atom; DOS(E_F) = 0.933 states/eV/atom; space group = P-3; volume = 31.369 A^3/atom; total magnetization = 2.87 μB/cell
1.0
4.342 0.000 0.000
0.000 11.186 0.000
0.000 -5.593 9.688
Dy Sb Sc
8 6 1
Cartesian
1.059 0.000 6.459 Dy
1.059 9.179 2.700 Dy
3.282 -3.585 6.988 Dy
3.283 5.593 3.229 Dy
3.282 2.251 9.299 Dy
3.282 1.334 3.089 Dy
1.059 4.259 6.599 Dy
1.059 3.342 0.389 Dy
3.232 -0.922 8.482 Sb
1.110 6.515 1.206 Sb
3.232 2.213 6.245 Sb
3.232 -1.292 4.649 Sb
1.110 6.885 5.039 Sb
1.110 3.380 3.443 Sb
2.171 0.000 0.000 Sc